The following is a DFT calculation (PBE) of an optimized crystal structure of CaGeAs2Se.

Summary:
Raw formation energy, eV/atom: -0.0460
N(E_F), states/eV/atom: 1.24
Size of the total moment, μB per atom: 0.000
Symmetry: No. 123
Crystal system: tetragonal
DFT total energy, eV/atom: -3.927

```
data_CaGeAs2Se
_cell_length_a 4.965
_cell_length_b 4.965
_cell_length_c 5.175
_cell_angle_alpha 90.00
_cell_angle_beta 90.00
_cell_angle_gamma 90.00
_space_group_name_H-M_alt 'P 1'
_space_group_IT_number 1
_space_group_name_Hall 'P 1'
loop_
_atom_site_label
_atom_site_type_symbol
_atom_site_fract_x
_atom_site_fract_y
_atom_site_fract_z
Ca1 Ca 0.000 0.000 0.000
Ge1 Ge 0.500 0.500 0.500
As1 As 0.000 0.500 0.500
As2 As 0.500 0.000 0.500
Se1 Se 0.500 0.500 0.000
```